# 1
# Pm8ErIr6 | the Alexandria database | GGA-PBE | optimized geometry
data_Pm8ErIr6
_cell_length_a 8.4348
_cell_length_b 8.4348
_cell_length_c 18.5124
_cell_angle_alpha 90.00
_cell_angle_beta 90.00
_cell_angle_gamma 120.00
_symmetry_space_group_name_H-M 'R -3'
_symmetry_Int_Tables_number 148
_symmetry_space_group_name_Hall '-R 3'
loop_
_atom_site_label
_atom_site_fract_x
_atom_site_fract_y
_atom_site_fract_z
Pm1 0.0000 0.0000 0.1684
Pm2 0.0037 0.6630 0.2784
Er1 0.0000 0.0000 0.5000
Ir1 0.0009 0.6698 0.4438
# DFT total energy (eV for the cell shown): -316.52
# Magnetization (Bohr magnetons per cell): 0.000

# 2
# Na3Tm2PaSe6 | the Alexandria database | GGA-PBE | optimized geometry
data_Na3Tm2PaSe6
_cell_length_a 7.1052
_cell_length_b 12.3072
_cell_length_c 7.4371
_cell_angle_alpha 90.00
_cell_angle_beta 108.57
_cell_angle_gamma 90.00
_symmetry_space_group_name_H-M 'C 1 2/m 1'
_symmetry_Int_Tables_number 12
loop_
_symmetry_equiv_pos_as_xyz
'x,y,z'
'-x,-y,-z'
'-x,y,-z'
'x,-y,z'
'x+1/2,y+1/2,z'
'-x+1/2,-y+1/2,-z'
'-x+1/2,y+1/2,-z'
'x+1/2,-y+1/2,z'
loop_
_atom_site_label
_atom_site_fract_x
_atom_site_fract_y
_atom_site_fract_z
Na1 0.0000 0.0000 0.0000
Na2 0.0000 0.3335 0.0000
Tm1 0.0000 0.1667 0.5000
Pa1 0.0000 0.5000 0.5000
Se1 0.2399 0.0000 0.7310
Se2 0.2456 0.3314 0.7309
# DFT total energy (eV for the cell shown): -123.16
# Raw formation energy (meV per atom): -1523
# Magnetization (Bohr magnetons per cell): 3.587

# 3
# YInAs2Rh5 | the Alexandria database | GGA-PBE | optimized geometry
data_YInAs2Rh5
_cell_length_a 4.1911
_cell_length_b 4.1911
_cell_length_c 8.6593
_cell_angle_alpha 90.00
_cell_angle_beta 90.00
_cell_angle_gamma 90.00
_symmetry_space_group_name_H-M 'P 4/m m m'
_symmetry_Int_Tables_number 123
_symmetry_space_group_name_Hall '-P 4 2'
loop_
_atom_site_label
_atom_site_fract_x
_atom_site_fract_y
_atom_site_fract_z
Y1 0.0000 0.0000 0.0000
In1 0.0000 0.0000 0.5000
As1 0.5000 0.5000 0.1459
Rh1 0.0000 0.5000 0.2789
Rh2 0.5000 0.5000 0.5000
# DFT total energy (eV for the cell shown): -60.82
# Magnetization (Bohr magnetons per cell): 0.000